Record 1
Compound: Ti7Sb2S2
Source: Alexandria
Functional: PBE
Structure: optimized geometry

Unit cell a=6.366 b=6.366 c=5.261 alpha=92.79 beta=92.79 gamma=72.41
Atoms (fractional coordinates):
Ti 0.000 0.000 0.000
Ti 0.103 0.484 0.763
Ti 0.441 0.441 0.226
Ti 0.484 0.103 0.763
Ti 0.516 0.897 0.237
Ti 0.559 0.559 0.774
Ti 0.897 0.516 0.237
Sb 0.194 0.806 0.500
Sb 0.806 0.194 0.500
S 0.222 0.222 0.099
S 0.778 0.778 0.901

## Properties
Crystal system: monoclinic
E_form (uncorrected), meV per atom: -505
Space-group type: C2/m

Record 2
Compound: SrTmAlZn
Source: Alexandria
Functional: PBE
Structure: optimized geometry

Unit cell a=5.275 b=5.275 c=5.275 alpha=60.00 beta=60.00 gamma=60.00
Atoms (fractional coordinates):
Sr 0.000 0.000 0.000
Tm 0.500 0.500 0.500
Al 0.750 0.750 0.750
Zn 0.250 0.250 0.250

## Properties
Crystal system: cubic
Energy of formation from the pure elements, kcal/mol of atoms: -3.86
Space-group type: F-43m

What is the formula in the second record? SrTmAlZn